VASP calculation (PBE-GGA) on a relaxed structure of PSCl2.

Calculated values
N(E_F) in states/eV per atom: 0.601
Relative energy among the computed polymorphs in meV/atom: 77

a b c (Å): 9.0636 9.0636 9.0636
angles (deg): 20.26 20.26 20.26
Fractional coordinates of all 4 atoms:
P1 0.5000 0.5000 0.5000
S1 0.0000 0.0000 0.0000
Cl1 0.9146 0.9146 0.9146
Cl2 0.0854 0.0854 0.0854


VASP calculation (PBE-GGA) on a relaxed structure of PSCl3.

Calculated values
N(E_F) in states/eV per atom: 1.185
Relative energy among the computed polymorphs in meV/atom: 1305

a b c (Å): 4.9041 4.9041 4.9041
angles (deg): 90.00 90.00 90.00
Each line ends with the local moment (μB).
Fractional coordinates of all 5 atoms:
P1 0.5000 0.5000 0.5000  1.02
S1 0.0000 0.0000 0.0000  -0.06
Cl1 0.0000 0.5000 0.0000  0.02
Cl2 0.0000 0.0000 0.5000  0.00
Cl3 0.5000 0.0000 0.0000  0.03


- Among the records above, which one has the highest relative energy among the computed polymorphs?
  PSCl3


- What is the relative energy among the computed polymorphs in the first record?
  77 meV/atom